Compound: KHgPb3
Source: the Alexandria database
Functional: PBEsol
Structure: optimized geometry

Calculated values
VASP energy, eV/cell: -8.75
ΔE_f, eV per atom: 0.989
Spin magnetization, μB/f.u.: 0.0

abc: 5.8779 5.8779 5.8779
angles: 90.00 90.00 90.00
With the nearest neighbours (Å) after each atom.
Positions (direct):
1 K 0.0000 0.0000 0.0000  6 Pb 2.94
2 Hg 0.5000 0.5000 0.5000  12 Pb 4.16
3 Pb 0.0000 0.0000 0.5000  2 K 2.94
4 Pb 0.0000 0.5000 0.0000  2 K 2.94
5 Pb 0.5000 0.0000 0.0000  2 K 2.94

---

Compound: KHg4Pb
Source: the Alexandria database
Functional: PBEsol
Structure: optimized geometry

Calculated values
VASP energy, eV/cell: -8.11
ΔE_f, eV per atom: -0.118
Spin magnetization, μB/f.u.: 0.0

abc: 6.0438 6.0438 6.0438
angles: 60.00 60.00 60.00
With the nearest neighbours (Å) after each atom.
Positions (direct):
1 K 0.0000 0.0000 0.0000  12 Hg 3.54, 4 Pb 3.70
2 Hg 0.3751 0.3751 0.3751  6 Hg 3.02
3 Hg 0.3751 0.3751 0.8747  6 Hg 3.02
4 Hg 0.3751 0.8747 0.3751  6 Hg 3.02
5 Hg 0.8747 0.3751 0.3751  6 Hg 3.02
6 Pb 0.7500 0.7500 0.7500  12 Hg 3.54, 4 K 3.70

---

Compound: KHg2Pb
Source: the Alexandria database
Functional: PBEsol
Structure: optimized geometry

Calculated values
VASP energy, eV/cell: -6.70
ΔE_f, eV per atom: -0.109
Spin magnetization, μB/f.u.: 0.0

abc: 5.3847 5.3847 6.8429
angles: 96.18 96.18 35.80
With the nearest neighbours (Å) after each atom.
Positions (direct):
1 K 0.0000 0.0000 0.0000  2 K 3.31, 6 Hg 3.36-3.46
2 Hg 0.2490 0.2490 0.7188  3 Pb 3.12-3.26, 4 Hg 3.31-3.42, 3 K 3.36-3.46
3 Hg 0.7510 0.7510 0.2812  3 Pb 3.12-3.26, 4 Hg 3.31-3.42, 3 K 3.36-3.46
4 Pb 0.5000 0.5000 0.5000  6 Hg 3.12-3.26, 2 Pb 3.31

---

Compound: K2HgPd2
Source: the Alexandria database
Functional: PBEsol
Structure: optimized geometry

Calculated values
VASP energy, eV/cell: -29.84
ΔE_f, eV per atom: -0.034
Spin magnetization, μB/f.u.: 0.0

abc: 6.9159 6.9159 5.1276
angles: 90.00 90.00 90.00
With the nearest neighbours (Å) after each atom.
Positions (direct):
1 K 0.1743 0.3257 0.0000  6 Pd 3.18-3.35, 1 K 3.41
2 K 0.3257 0.8257 0.0000  6 Pd 3.18-3.35, 1 K 3.41
3 K 0.6743 0.1743 0.0000  6 Pd 3.18-3.35, 1 K 3.41
4 K 0.8257 0.6743 0.0000  6 Pd 3.18-3.35, 1 K 3.41
5 Hg 0.0000 0.0000 0.5000  4 Pd 2.70
6 Hg 0.5000 0.5000 0.5000  4 Pd 2.70
7 Pd 0.1339 0.6339 0.5000  1 Pd 2.62, 2 Hg 2.70
8 Pd 0.3661 0.1339 0.5000  1 Pd 2.62, 2 Hg 2.70
9 Pd 0.6339 0.8661 0.5000  1 Pd 2.62, 2 Hg 2.70
10 Pd 0.8661 0.3661 0.5000  1 Pd 2.62, 2 Hg 2.70

---

Compound: KHgPt4
Source: the Alexandria database
Functional: PBEsol
Structure: optimized geometry

Calculated values
VASP energy, eV/cell: -29.58
ΔE_f, eV per atom: -0.005
Spin magnetization, μB/f.u.: 0.0

abc: 5.3535 5.3535 5.3535
angles: 60.00 60.00 60.00
With the nearest neighbours (Å) after each atom.
Positions (direct):
1 K 0.0000 0.0000 0.0000  12 Pt 3.14, 4 Hg 3.28
2 Hg 0.7500 0.7500 0.7500  12 Pt 3.14, 4 K 3.28
3 Pt 0.3752 0.3752 0.3752  6 Pt 2.67-2.68
4 Pt 0.3752 0.3752 0.8745  6 Pt 2.67-2.68
5 Pt 0.3752 0.8745 0.3752  6 Pt 2.67-2.68
6 Pt 0.8745 0.3752 0.3752  6 Pt 2.67-2.68

---

Compound: KHg2Pt2
Source: the Alexandria database
Functional: PBEsol
Structure: optimized geometry

Calculated values
VASP energy, eV/cell: -16.29
ΔE_f, eV per atom: -0.019
Spin magnetization, μB/f.u.: 0.0

abc: 7.0833 7.0833 7.0833
angles: 146.42 146.42 48.23
With the nearest neighbours (Å) after each atom.
Positions (direct):
1 K 0.0000 0.0000 0.0000  8 Hg 3.21
2 Hg 0.3922 0.3922 0.0000  4 Pt 2.75, 1 Hg 2.79
3 Hg 0.6078 0.6078 0.0000  4 Pt 2.75, 1 Hg 2.79
4 Pt 0.2500 0.7500 0.5000  4 Hg 2.75, 4 Pt 2.89
5 Pt 0.7500 0.2500 0.5000  4 Hg 2.75, 4 Pt 2.89

---

Compound: K2Rb2Hg
Source: the Alexandria database
Functional: PBEsol
Structure: optimized geometry

Calculated values
VASP energy, eV/cell: -9.54
ΔE_f, eV per atom: 0.023
Spin magnetization, μB/f.u.: 0.0

abc: 9.3718 9.3718 7.3077
angles: 90.00 90.00 90.00
With the nearest neighbours (Å) after each atom.
Positions (direct):
1 K 0.1768 0.3232 0.0000  2 Rb 4.25, 1 K 4.69
2 K 0.3232 0.8232 0.0000  2 Rb 4.25, 1 K 4.69
3 K 0.6768 0.1768 0.0000  2 Rb 4.25, 1 K 4.69
4 K 0.8232 0.6768 0.0000  2 Rb 4.25, 1 K 4.69
5 Rb 0.1594 0.6594 0.5000  2 Hg 3.52
6 Rb 0.3406 0.1594 0.5000  2 Hg 3.52
7 Rb 0.6594 0.8406 0.5000  2 Hg 3.52
8 Rb 0.8406 0.3406 0.5000  2 Hg 3.52
9 Hg 0.0000 0.0000 0.5000  4 Rb 3.52
10 Hg 0.5000 0.5000 0.5000  4 Rb 3.52

---

Compound: K2RbHg2
Source: the Alexandria database
Functional: PBEsol
Structure: optimized geometry

Calculated values
VASP energy, eV/cell: -9.79
ΔE_f, eV per atom: -0.094
Spin magnetization, μB/f.u.: 0.0
Polymorph energy (0 for the lowest one), meV per atom: 23.1

abc: 10.1049 10.1049 3.8758
angles: 90.00 90.00 90.00
With the nearest neighbours (Å) after each atom.
Positions (direct):
1 K 0.1301 0.3699 0.0000  6 Hg 3.51-3.58, 3 K 3.72-3.88
2 K 0.3699 0.8699 0.0000  6 Hg 3.51-3.58, 3 K 3.72-3.88
3 K 0.6301 0.1301 0.0000  6 Hg 3.51-3.58, 3 K 3.72-3.88
4 K 0.8699 0.6301 0.0000  6 Hg 3.51-3.58, 3 K 3.72-3.88
5 Rb 0.0000 0.0000 0.0000  2 Rb 3.88, 4 K 3.96, 8 Hg 4.24
6 Rb 0.5000 0.5000 0.0000  2 Rb 3.88, 4 K 3.96, 8 Hg 4.24
7 Hg 0.1653 0.6653 0.5000  6 K 3.51-3.58, 2 Hg 3.88
8 Hg 0.3347 0.1653 0.5000  6 K 3.51-3.58, 2 Hg 3.88
9 Hg 0.6653 0.8347 0.5000  6 K 3.51-3.58, 2 Hg 3.88
10 Hg 0.8347 0.3347 0.5000  6 K 3.51-3.58, 2 Hg 3.88

---

Compound: KRbHg2
Source: the Alexandria database
Functional: PBEsol
Structure: optimized geometry

Calculated values
VASP energy, eV/cell: -3.83
ΔE_f, eV per atom: -0.135
Spin magnetization, μB/f.u.: 0.0

abc: 5.9145 5.9145 5.9145
angles: 60.00 60.00 60.00
With the nearest neighbours (Å) after each atom.
Positions (direct):
1 K 0.0000 0.0000 0.0000  8 Hg 3.62
2 Rb 0.5000 0.5000 0.5000  8 Hg 3.62
3 Hg 0.2500 0.2500 0.2500  4 K 3.62, 4 Rb 3.62
4 Hg 0.7500 0.7500 0.7500  4 Rb 3.62, 4 K 3.62

---

Compound: KRb3Hg
Source: the Alexandria database
Functional: PBEsol
Structure: optimized geometry

Calculated values
VASP energy, eV/cell: -4.98
ΔE_f, eV per atom: -0.042
Spin magnetization, μB/f.u.: 0.0

abc: 7.0039 7.0039 7.0039
angles: 90.00 90.00 90.00
With the nearest neighbours (Å) after each atom.
Positions (direct):
1 K 0.0000 0.0000 0.0000  12 Rb 4.95
2 Rb 0.0000 0.5000 0.5000  2 Hg 3.50
3 Rb 0.5000 0.0000 0.5000  2 Hg 3.50
4 Rb 0.5000 0.5000 0.0000  2 Hg 3.50
5 Hg 0.5000 0.5000 0.5000  6 Rb 3.50

---

Compound: KRb2Hg2
Source: the Alexandria database
Functional: PBEsol
Structure: optimized geometry

Calculated values
VASP energy, eV/cell: -9.29
ΔE_f, eV per atom: -0.066
Spin magnetization, μB/f.u.: 0.0
Polymorph energy (0 for the lowest one), meV per atom: 16.2

abc: 10.3002 10.3002 4.0562
angles: 90.00 90.00 90.00
With the nearest neighbours (Å) after each atom.
Positions (direct):
1 K 0.0000 0.0000 0.0000  4 Rb 4.00, 2 K 4.06, 8 Hg 4.37
2 K 0.5000 0.5000 0.0000  4 Rb 4.00, 2 K 4.06, 8 Hg 4.37
3 Rb 0.1358 0.3642 0.0000  6 Hg 3.61-3.66, 1 Rb 3.96, 2 K 4.00
4 Rb 0.3642 0.8642 0.0000  6 Hg 3.61-3.66, 1 Rb 3.96, 2 K 4.00
5 Rb 0.6358 0.1358 0.0000  6 Hg 3.61-3.66, 1 Rb 3.96, 2 K 4.00
6 Rb 0.8642 0.6358 0.0000  6 Hg 3.61-3.66, 1 Rb 3.96, 2 K 4.00
7 Hg 0.1596 0.6596 0.5000  6 Rb 3.61-3.66
8 Hg 0.3404 0.1596 0.5000  6 Rb 3.61-3.66
9 Hg 0.6596 0.8404 0.5000  6 Rb 3.61-3.66
10 Hg 0.8404 0.3404 0.5000  6 Rb 3.61-3.66

---

Compound: K2RbHg2
Source: the Alexandria database
Functional: PBEsol
Structure: optimized geometry

Calculated values
VASP energy, eV/cell: -5.01
ΔE_f, eV per atom: -0.117
Spin magnetization, μB/f.u.: 0.0
Polymorph energy (0 for the lowest one), meV per atom: 0.0

abc: 8.2496 8.2496 8.2496
angles: 141.61 141.61 55.42
With the nearest neighbours (Å) after each atom.
Positions (direct):
1 K 0.2500 0.7500 0.5000  4 Hg 3.51, 4 K 3.84
2 K 0.7500 0.2500 0.5000  4 Hg 3.51, 4 K 3.84
3 Rb 0.0000 0.0000 0.0000  8 Hg 4.09, 8 K 4.55
4 Hg 0.4029 0.4029 0.0000  1 Hg 2.84
5 Hg 0.5971 0.5971 0.0000  1 Hg 2.84